[1]
Below is a relaxed MgCr2Ni crystal, with properties calculated at the PBE-GGA level.

Summary:
DOS at the Fermi energy in states/eV per cell: 4.47
Space group: P2/m
Total moment in μB/cell: 0.00
Energy relative to the elements in eV/atom: 0.34

abc: 4.3365 2.5022 4.8696
angles: 75.32 90.00 90.00
Closest atoms and distances in Å follow each position.
Atoms (fractional coordinates):
Cr 0.0000 0.0180 0.9737  1 Cr 2.19
Cr 0.0000 0.4820 0.5263  1 Cr 2.19
Mg 0.5000 0.2500 0.2500  2 Ni 2.44, 2 Mg 2.50, 4 Cr 2.69
Ni 0.5000 0.7500 0.7500  2 Mg 2.44, 2 Ni 2.50, 4 Cr 2.59

[2]
Below is a relaxed ScTiPdPb crystal, with properties calculated at the PBE-GGA level.

Summary:
DOS at the Fermi energy in states/eV per cell: 3.46
Space group: F-43m
Total moment in μB/cell: 1.38
Energy relative to the elements in eV/atom: -0.35

abc: 4.8173 4.8173 4.8173
angles: 60.00 60.00 60.00
Closest atoms and distances in Å follow each position.
Atoms (fractional coordinates):
Pb 0.0000 0.0000 0.0000  4 Sc 2.95, 4 Ti 2.95
Sc 0.7500 0.7500 0.7500  4 Pb 2.95, 4 Pd 2.95
Pd 0.5000 0.5000 0.5000  4 Ti 2.95, 4 Sc 2.95
Ti 0.2500 0.2500 0.2500  4 Pb 2.95, 4 Pd 2.95

[3]
Below is a relaxed Ba3SrC2N6 crystal, with properties calculated at the PBE-GGA level.

Summary:
DOS at the Fermi energy in states/eV per cell: 5.20
Space group: P-3m1
Total moment in μB/cell: 0.00
ΔE_f (raw) in meV per atom: -488.9

abc: 5.9554 5.9554 7.0757
angles: 90.00 90.00 120.00
Closest atoms and distances in Å follow each position.
Atoms (fractional coordinates):
Ba 0.3333 0.6667 0.6697  1 C 2.83, 9 N 3.02-3.09
Ba 0.6667 0.3333 0.3303  1 C 2.83, 9 N 3.02-3.09
Ba 0.0000 0.0000 0.0000  6 N 2.86
Sr 0.0000 0.0000 0.5000  6 N 2.60
C 0.6667 0.3333 0.7309  3 N 1.36
C 0.3333 0.6667 0.2691  3 N 1.36
N 0.5971 0.7985 0.2783  1 C 1.36
N 0.2015 0.4029 0.2783  1 C 1.36
N 0.2015 0.7985 0.2783  1 C 1.36
N 0.7985 0.5971 0.7217  1 C 1.36
N 0.4029 0.2015 0.7217  1 C 1.36
N 0.7985 0.2015 0.7217  1 C 1.36